# 1
Gd3YO6: optimized geometry, PBE-GGA.

Cell lengths 6.827, 6.827, 6.827 Å; angles 91.61, 91.61, 91.61 degrees
Positions (direct):
Gd 0.056 0.563 0.752
Gd 0.248 0.944 0.437
Gd 0.437 0.248 0.944
Gd 0.563 0.752 0.056
Gd 0.752 0.056 0.563
Gd 0.944 0.437 0.248
Y 0.000 0.000 0.000
Y 0.500 0.500 0.500
O 0.031 0.899 0.685
O 0.101 0.315 0.969
O 0.186 0.594 0.431
O 0.315 0.969 0.101
O 0.406 0.569 0.814
O 0.431 0.186 0.594
O 0.569 0.814 0.406
O 0.594 0.431 0.186
O 0.685 0.031 0.899
O 0.814 0.406 0.569
O 0.899 0.685 0.031
O 0.969 0.101 0.315

Values from the calculation:
E_form (uncorrected)   -3.477 eV per atom
ΔE to the lowest computed polymorph   0 meV/atom
SG   No. 148



# 2
Be2Co2Pd: optimized geometry, PBE-GGA.

Cell lengths 6.116, 6.116, 2.730 Å; angles 90.00, 90.00, 90.00 degrees
Positions (direct):
Be 0.129 0.371 0.000
Be 0.371 0.871 0.000
Be 0.629 0.129 0.000
Be 0.871 0.629 0.000
Co 0.162 0.662 0.500
Co 0.338 0.162 0.500
Co 0.662 0.838 0.500
Co 0.838 0.338 0.500
Pd 0.000 0.000 0.000
Pd 0.500 0.500 0.000

Values from the calculation:
Formation energy from the elements   -0.168 eV/atom
ΔE to the lowest computed polymorph   0 meV/atom
SG   No. 127



# 3
ZnFe2Sb: optimized geometry, PBE-GGA.

Cell lengths 4.208, 4.208, 3.064 Å; angles 90.00, 90.00, 90.00 degrees
Positions (direct):
Zn 0.000 0.000 0.000
Fe 0.000 0.500 0.500
Fe 0.500 0.000 0.500
Sb 0.500 0.500 0.000

Values from the calculation:
E_form (uncorrected)   0.270 eV per atom
ΔE to the lowest computed polymorph   111 meV/atom
SG   No. 123



# 4
DyAsPd: optimized geometry, PBE-GGA.

Cell lengths 4.138, 4.138, 6.976 Å; angles 90.00, 90.00, 90.00 degrees
Positions (direct):
Dy 0.250 0.250 0.185
Dy 0.750 0.750 0.815
As 0.250 0.250 0.765
As 0.750 0.750 0.235
Pd 0.250 0.750 0.500
Pd 0.750 0.250 0.500

Values from the calculation:
Formation energy from the elements   -1.126 eV/atom
SG   No. 129



# 5
Er2ThTl3Se6: optimized geometry, PBE-GGA.

Cell lengths 7.189, 7.189, 8.504 Å; angles 98.11, 98.11, 119.99 degrees
Positions (direct):
Er 0.167 0.833 0.000
Er 0.833 0.167 0.000
Th 0.500 0.500 0.000
Tl 0.000 0.000 0.500
Tl 0.332 0.668 0.500
Tl 0.668 0.332 0.500
Se 0.094 0.434 0.803
Se 0.226 0.226 0.197
Se 0.434 0.094 0.803
Se 0.566 0.906 0.197
Se 0.774 0.774 0.803
Se 0.906 0.566 0.197

Values from the calculation:
E_form (uncorrected)   -1.297 eV per atom
SG   No. 12



# 6
CaCo2Os: optimized geometry, PBE-GGA.

Cell lengths 4.410, 4.410, 4.410 Å; angles 60.00, 60.00, 60.00 degrees
Positions (direct):
Ca 0.000 0.000 0.000
Co 0.500 0.500 0.500
Co 0.750 0.750 0.750
Os 0.250 0.250 0.250

Values from the calculation:
Formation energy from the elements   0.739 eV/atom
ΔE to the lowest computed polymorph   382 meV/atom
SG   No. 216



# 7
SbSCl: optimized geometry, PBE-GGA.

Cell lengths 5.615, 5.615, 5.595 Å; angles 94.82, 94.82, 37.69 degrees
Positions (direct):
Sb 0.000 0.000 0.000
S 0.485 0.485 0.297
Cl 0.780 0.780 0.839

Values from the calculation:
E_form (uncorrected)   -0.468 eV per atom
SG   No. 8



# 8
ScSbI2F: optimized geometry, PBE-GGA.

Cell lengths 5.758, 5.758, 4.279 Å; angles 90.00, 90.00, 90.00 degrees
Positions (direct):
Sc 0.000 0.000 0.000
Sb 0.500 0.500 0.000
I 0.000 0.500 0.500
I 0.500 0.000 0.500
F 0.500 0.500 0.500

Values from the calculation:
E_form (uncorrected)   -0.378 eV per atom
ΔE to the lowest computed polymorph   89 meV/atom
SG   No. 123



Final energy across the listed records, respectively: -226.46 -55.39 -21.24 -35.64 -60.11 -24.49 -11.50 -17.32 eV/cell.
Total moment across the listed records, respectively: 21.0 1.4 0.6 0.0 0.0 4.5 0.0 1.0 μB per formula unit.